Record 1
Density functional theory data (GGA-PBE) for an optimized crystal structure of Ac3Cu3Ag.

Values from the calculation:
The energy relative to the elements comes out at -0.173 eV/atom. The space group is Imm2, No. 44.

Structure (extended XYZ):
```
7
Lattice="-2.088 2.235 10.188 2.088 -2.235 10.188 2.088 2.235 -10.188" Properties=species:S:1:pos:R:3 pbc="T T T"
Ac 0.000 0.000 0.000
Ac 0.000 0.000 7.503
Ac 0.000 2.235 3.588
Cu 2.088 0.000 2.308
Cu 0.000 0.000 11.204
Cu 0.000 0.000 16.766
Ag 2.088 0.000 4.983
```

***

Record 2
Density functional theory data (GGA-PBE) for an optimized crystal structure of AcCuAg.

Values from the calculation:
Its relative energy among the computed polymorphs is 0.000 eV/atom. The energy relative to the elements comes out at -0.235 eV/atom. The space group is Immm, No. 71.

Structure (extended XYZ):
```
6
Lattice="-2.289 4.059 4.086 2.289 -4.059 4.086 2.289 4.059 -4.086" Properties=species:S:1:pos:R:3 pbc="T T T"
Ac 0.000 0.000 2.023
Ac 0.000 0.000 6.149
Cu 2.289 1.250 0.000
Cu 0.000 2.808 4.086
Ag 0.000 2.642 0.000
Ag 0.000 5.476 0.000
```

***

Record 3
Density functional theory data (GGA-PBE) for an optimized crystal structure of AcCuAg4.

Values from the calculation:
The energy relative to the elements comes out at -0.035 eV/atom. The space group is F-43m, No. 216.

Structure (extended XYZ):
```
6
Lattice="0.000 4.004 4.004 4.004 0.000 4.004 4.004 4.004 0.000" Properties=species:S:1:pos:R:3 pbc="T T T"
Ac 0.000 0.000 0.000
Cu 2.002 2.002 2.002
Ag 4.996 3.013 3.013
Ag 3.013 4.996 3.013
Ag 3.013 3.013 4.996
Ag 4.996 4.996 4.996
```

***

Record 4
Density functional theory data (GGA-PBE) for an optimized crystal structure of Ac5CuAg4.

Values from the calculation:
The energy relative to the elements comes out at -0.225 eV/atom. The space group is P4/mmm, No. 123.

Structure (extended XYZ):
```
10
Lattice="3.915 0.000 0.000 0.000 3.915 0.000 0.000 0.000 19.903" Properties=species:S:1:pos:R:3 pbc="T T T"
Ac 0.000 0.000 0.000
Ac 0.000 0.000 4.041
Ac 0.000 0.000 8.090
Ac 0.000 0.000 11.813
Ac 0.000 0.000 15.862
Cu 1.957 1.957 9.952
Ag 1.957 1.957 2.015
Ag 1.957 1.957 6.048
Ag 1.957 1.957 13.855
Ag 1.957 1.957 17.888
```

***

Record 5
Density functional theory data (GGA-PBE) for an optimized crystal structure of Ac2CuAg5.

Values from the calculation:
The energy relative to the elements comes out at -0.178 eV/atom. The space group is Cmcm, No. 63.

Structure (extended XYZ):
```
16
Lattice="2.345 -8.552 0.000 2.345 8.552 0.000 0.000 0.000 9.844" Properties=species:S:1:pos:R:3 pbc="T T T"
Ac 0.000 0.000 0.000
Ac 0.000 0.000 4.922
Ac 2.345 5.101 7.383
Ac 2.345 -5.101 2.461
Cu 2.345 1.018 2.461
Cu 2.345 -1.018 7.383
Ag 2.345 5.395 1.072
Ag 2.345 5.395 3.850
Ag 2.345 2.506 0.279
Ag 2.345 2.506 4.643
Ag 2.345 1.615 7.383
Ag 2.345 -1.615 2.461
Ag 2.345 -2.506 5.201
Ag 2.345 -2.506 9.565
Ag 2.345 -5.395 5.994
Ag 2.345 -5.395 8.772
```

***

Record 6
Density functional theory data (GGA-PBE) for an optimized crystal structure of AcCu2Ag.

Values from the calculation:
The energy relative to the elements comes out at -0.113 eV/atom. The space group is Cmcm, No. 63.

Structure (extended XYZ):
```
8
Lattice="2.195 -8.916 0.000 2.195 8.916 0.000 0.000 0.000 4.553" Properties=species:S:1:pos:R:3 pbc="T T T"
Ac 2.195 7.000 3.415
Ac 2.195 -7.000 1.138
Cu 2.195 4.422 1.138
Cu 2.195 0.486 3.415
Cu 2.195 -0.486 1.138
Cu 2.195 -4.422 3.415
Ag 2.195 3.110 3.415
Ag 2.195 -3.110 1.138
```

***

Record 7
Density functional theory data (GGA-PBE) for an optimized crystal structure of Ac6CuAg5.

Values from the calculation:
The energy relative to the elements comes out at -0.228 eV/atom. The space group is P2/m, No. 10.

Structure (extended XYZ):
```
12
Lattice="5.607 0.000 0.000 0.000 7.830 0.000 -2.780 0.000 8.388" Properties=species:S:1:pos:R:3 pbc="T T T"
Ac 0.000 1.911 0.000
Ac 0.000 5.919 0.000
Ac 0.015 1.939 5.642
Ac 0.015 5.891 5.642
Ac 2.812 1.939 2.746
Ac 2.812 5.891 2.746
Cu 2.803 0.000 0.000
Ag 0.010 3.915 2.818
Ag 0.009 0.000 2.832
Ag 2.803 3.915 0.000
Ag 2.817 0.000 5.556
Ag 2.817 3.915 5.570
```

***

Record 8
Density functional theory data (GGA-PBE) for an optimized crystal structure of AcCuAg.

Values from the calculation:
Its relative energy among the computed polymorphs is 0.006 eV/atom. The energy relative to the elements comes out at -0.229 eV/atom. The space group is C2/m, No. 12.

Structure (extended XYZ):
```
6
Lattice="8.621 -2.182 0.000 8.621 2.182 0.000 -0.998 0.000 4.089" Properties=species:S:1:pos:R:3 pbc="T T T"
Ac 1.614 0.000 1.492
Ac 14.630 0.000 2.597
Cu 7.742 0.000 0.869
Cu 8.502 0.000 3.220
Ag 5.132 0.000 0.214
Ag 11.112 0.000 3.875
```

***

Record 9
Density functional theory data (GGA-PBE) for an optimized crystal structure of Ac3CuAg.

Values from the calculation:
The energy relative to the elements comes out at -0.136 eV/atom. The space group is Cm, No. 8.

Structure (extended XYZ):
```
10
Lattice="8.780 -2.106 0.000 8.780 2.106 0.000 -1.124 0.000 9.056" Properties=species:S:1:pos:R:3 pbc="T T T"
Ac 0.000 0.000 0.000
Ac 2.427 0.000 3.248
Ac 6.109 0.000 2.402
Ac 8.531 0.000 5.641
Ac 12.314 0.000 0.010
Ac 13.774 0.000 5.641
Cu 9.229 0.000 2.301
Cu 16.872 0.000 3.336
Ag 2.307 0.000 6.582
Ag 5.095 0.000 8.124
```

***

Record 10
Density functional theory data (GGA-PBE) for an optimized crystal structure of Ac2CuAg3.

Values from the calculation:
Its relative energy among the computed polymorphs is 0.000 eV/atom. The energy relative to the elements comes out at -0.269 eV/atom. The space group is Pmm2, No. 25.

Structure (extended XYZ):
```
6
Lattice="4.121 0.000 0.000 0.000 4.773 0.000 0.000 0.000 8.122" Properties=species:S:1:pos:R:3 pbc="T T T"
Ac 0.000 0.000 0.000
Ac 0.000 2.386 3.938
Cu 2.061 0.000 2.590
Ag 2.061 0.000 5.249
Ag 2.061 2.386 1.372
Ag 2.061 2.386 6.701
```

***

Record 11
Density functional theory data (GGA-PBE) for an optimized crystal structure of Ac2Cu5Ag5.

Values from the calculation:
The energy relative to the elements comes out at -0.080 eV/atom. The space group is Pmmm, No. 47.

Structure (extended XYZ):
```
12
Lattice="4.418 0.000 0.000 0.000 5.512 0.000 0.000 0.000 9.786" Properties=species:S:1:pos:R:3 pbc="T T T"
Ac 0.000 0.000 0.000
Ac 0.000 2.756 4.893
Cu 2.209 0.000 4.893
Cu 2.209 1.361 2.534
Cu 2.209 1.361 7.252
Cu 2.209 4.150 2.534
Cu 2.209 4.150 7.252
Ag 0.000 0.000 3.255
Ag 0.000 0.000 6.531
Ag 0.000 2.756 1.755
Ag 0.000 2.756 8.030
Ag 2.209 2.756 0.000
```

***

Record 12
Density functional theory data (GGA-PBE) for an optimized crystal structure of Ac5Cu2Ag.

Values from the calculation:
The energy relative to the elements comes out at -0.084 eV/atom. The space group is I4/mcm, No. 140.

Structure (extended XYZ):
```
16
Lattice="-4.293 4.293 7.086 4.293 -4.293 7.086 4.293 4.293 -7.086" Properties=species:S:1:pos:R:3 pbc="T T T"
Ac 0.000 0.000 0.000
Ac 5.645 1.352 -2.018
Ac 1.352 2.941 -2.018
Ac 5.645 1.352 2.018
Ac 1.352 2.941 2.018
Ac 0.000 0.000 7.086
Ac 2.941 1.352 5.068
Ac -1.352 2.941 5.068
Ac 2.941 1.352 9.105
Ac -1.352 2.941 9.105
Cu 3.240 1.053 0.000
Cu 3.240 -1.053 7.086
Cu 1.053 5.346 0.000
Cu 1.053 3.240 7.086
Ag 0.000 0.000 3.543
Ag 0.000 0.000 10.629
```

***

Question: Among the records above, which one has the highest energy relative to the elements?
Answer: AcCuAg4

***

Question: Which of these has the highest energy relative to the elements?
Answer: AcCuAg4

***

Question: The lowest energy relative to the elements belongs to which entry?
Answer: Ac2CuAg3